Record 1
Here is an optimized crystal structure of Np2Ge3Os from Alexandria via LeMat-Bulk. Energies are from PBE.

Cell lengths 4.434, 5.683, 5.582 Å; angles 64.32, 66.60, 67.04 degrees
Element x y z (fractional)
Np: 0.538 0.185 0.739
Np: 0.461 0.824 0.254
Ge: 0.858 0.625 0.659
Ge: 0.803 0.246 0.149
Ge: 0.185 0.759 0.872
Os: 0.156 0.361 0.327

M_tot = 1.02 μB per atom
SG = Cm
Energy relative to the elements = -0.1318 eV/atom
E = -8.63 eV/atom

Record 2
Here is an optimized crystal structure of ZrAlV from Alexandria via LeMat-Bulk. Energies are from PBE.

Cell lengths 3.344, 4.444, 7.244 Å; angles 89.73, 103.35, 90.00 degrees
Element x y z (fractional)
Zr: 0.076 0.248 0.153
Zr: 0.924 0.752 0.847
Al: 0.382 0.253 0.764
Al: 0.618 0.747 0.236
V: 0.261 0.763 0.523
V: 0.739 0.237 0.477

M_tot = 0.00 μB per atom
Energy relative to the lowest polymorph listed for this composition = 60 meV per atom
SG = C2/m
Energy relative to the elements = -0.2293 eV/atom
E = -7.37 eV/atom

Record 3
Here is an optimized crystal structure of H3PtF from Alexandria via LeMat-Bulk. Energies are from PBE.

Cell lengths 3.326, 3.326, 3.326 Å; angles 90.00, 90.00, 90.00 degrees
Element x y z (fractional)
H: 0.000 0.500 0.000
H: 0.000 0.000 0.500
H: 0.500 0.000 0.000
Pt: 0.500 0.500 0.500
F: 0.000 0.000 0.000

M_tot = 0.00 μB per atom
Energy relative to the lowest polymorph listed for this composition = 707 meV per atom
SG = Pm-3m
E = -2.84 eV/atom

Record 4
Here is an optimized crystal structure of Cs5Bi2Br12 from Alexandria via LeMat-Bulk. Energies are from PBE.

Cell lengths 8.459, 10.862, 11.901 Å; angles 107.02, 90.00, 112.92 degrees
Element x y z (fractional)
Cs: 0.295 0.591 0.644
Cs: 0.308 0.616 0.160
Cs: 0.000 0.000 0.500
Cs: 0.692 0.384 0.840
Cs: 0.705 0.409 0.356
Bi: 0.751 0.000 0.000
Bi: 0.249 0.000 0.000
Br: 0.005 0.010 0.173
Br: 0.106 0.701 0.929
Br: 0.595 0.701 0.929
Br: 0.132 0.708 0.431
Br: 0.576 0.708 0.431
Br: 0.496 0.991 0.826
Br: 0.504 0.009 0.174
Br: 0.868 0.292 0.569
Br: 0.424 0.292 0.569
Br: 0.894 0.299 0.071
Br: 0.405 0.299 0.071
Br: 0.995 0.990 0.827

ΔE_f (raw) = -1.22 eV per atom
M_tot = 0.06 μB per atom
Energy relative to the lowest polymorph listed for this composition = 0 meV per atom
SG = C2/m
E = -2.91 eV/atom

Record 5
Here is an optimized crystal structure of K3SnSb3Se8 from Alexandria via LeMat-Bulk. Energies are from PBE.

Cell lengths 8.292, 8.293, 9.287 Å; angles 116.54, 90.00, 120.00 degrees
Element x y z (fractional)
K: 0.000 0.000 0.000
K: 0.000 0.500 0.000
K: 0.500 0.500 0.000
Sn: 0.000 0.000 0.500
Sb: 0.500 0.000 0.500
Sb: 0.500 0.500 0.500
Sb: 0.000 0.500 0.500
Se: 0.264 0.529 0.293
Se: 0.736 0.471 0.707
Se: 0.776 0.551 0.301
Se: 0.224 0.449 0.699
Se: 0.776 0.026 0.302
Se: 0.224 0.974 0.698
Se: 0.250 0.026 0.302
Se: 0.750 0.974 0.698

ΔE_f (raw) = -0.63 eV per atom
M_tot = 0.00 μB per atom
SG = R-3m
E = -3.80 eV/atom

Record 6
Here is an optimized crystal structure of BePbSe2 from Alexandria via LeMat-Bulk. Energies are from PBE.

Cell lengths 4.921, 4.922, 4.922 Å; angles 72.84, 65.81, 107.16 degrees
Element x y z (fractional)
Pb: 0.500 0.500 0.000
Be: 0.000 0.500 0.500
Se: 0.000 0.000 0.000
Se: 0.500 0.000 0.500

ΔE_f (raw) = 0.16 eV per atom
M_tot = 0.00 μB per atom
Energy relative to the lowest polymorph listed for this composition = 689 meV per atom
SG = I4/mmm
E = -3.44 eV/atom

Record 7
Here is an optimized crystal structure of La5TmGa6 from Alexandria via LeMat-Bulk. Energies are from PBE.

Cell lengths 5.263, 7.454, 8.362 Å; angles 90.00, 71.80, 90.00 degrees
Element x y z (fractional)
Tm: 0.000 0.000 0.000
Ga: 0.840 0.761 0.319
Ga: 0.840 0.239 0.319
Ga: 0.500 0.243 0.000
Ga: 0.500 0.757 0.000
Ga: 0.160 0.761 0.681
Ga: 0.160 0.239 0.681
La: 0.673 0.500 0.653
La: 0.334 0.000 0.331
La: 0.000 0.500 0.000
La: 0.666 0.000 0.669
La: 0.327 0.500 0.347

M_tot = 0.00 μB per atom
SG = P2/m
Energy relative to the elements = -0.5641 eV/atom
E = -4.50 eV/atom

Record 8
Here is an optimized crystal structure of Zr2ZnPt from Alexandria via LeMat-Bulk. Energies are from PBE.

Cell lengths 5.054, 5.054, 2.980 Å; angles 89.98, 89.98, 102.13 degrees
Element x y z (fractional)
Pt: 0.500 0.000 0.500
Zn: 0.000 0.500 0.500
Zr: 0.000 0.000 0.000
Zr: 0.500 0.500 0.000

M_tot = 0.00 μB per atom
SG = Cmmm
Energy relative to the elements = -0.5652 eV/atom
E = -6.67 eV/atom

Record 9
Here is an optimized crystal structure of Sr2TlW from Alexandria via LeMat-Bulk. Energies are from PBE.

Cell lengths 5.440, 5.440, 7.230 Å; angles 84.28, 84.28, 34.36 degrees
Element x y z (fractional)
Sr: 0.003 0.003 0.986
Sr: 0.497 0.497 0.514
Tl: 0.250 0.250 0.250
W: 0.750 0.750 0.750

M_tot = 0.40 μB per atom
Energy relative to the lowest polymorph listed for this composition = 287 meV per atom
SG = C2/m
Energy relative to the elements = 1.0022 eV/atom
E = -3.67 eV/atom

Record 10
Here is an optimized crystal structure of Tm3SbO7 from Alexandria via LeMat-Bulk. Energies are from PBE.

Cell lengths 6.392, 6.392, 7.427 Å; angles 90.00, 90.00, 109.34 degrees
Element x y z (fractional)
Tm: 0.999 0.468 0.749
Tm: 0.001 0.532 0.249
Tm: 0.532 0.001 0.751
Tm: 0.468 0.999 0.251
Tm: 0.505 0.505 0.500
Tm: 0.495 0.495 0.000
Sb: 0.000 0.000 0.500
Sb: 0.000 0.000 0.000
O: 0.638 0.362 0.750
O: 0.362 0.638 0.250
O: 0.926 0.074 0.750
O: 0.074 0.926 0.250
O: 0.924 0.674 0.530
O: 0.076 0.326 0.030
O: 0.326 0.076 0.970
O: 0.674 0.924 0.470
O: 0.370 0.630 0.750
O: 0.630 0.370 0.250
O: 0.928 0.676 0.968
O: 0.072 0.324 0.468
O: 0.324 0.072 0.532
O: 0.676 0.928 0.032

ΔE_f (raw) = -3.02 eV per atom
M_tot = 0.00 μB per atom
SG = C222_1
E = -7.77 eV/atom

Record 11
Here is an optimized crystal structure of ReTeWI from Alexandria via LeMat-Bulk. Energies are from PBE.

Cell lengths 3.431, 3.428, 9.910 Å; angles 89.41, 89.28, 60.06 degrees
Element x y z (fractional)
I: 0.870 0.377 0.782
Re: 0.881 0.383 0.402
Te: 0.219 0.720 0.185
W: 0.542 0.047 0.562

ΔE_f (raw) = 0.50 eV per atom
M_tot = 0.00 μB per atom
Energy relative to the lowest polymorph listed for this composition = 145 meV per atom
SG = P1
E = -7.02 eV/atom

Record 12
Here is an optimized crystal structure of Zr2TlCo from Alexandria via LeMat-Bulk. Energies are from PBE.

Cell lengths 5.490, 5.490, 5.490 Å; angles 136.06, 136.06, 63.88 degrees
Element x y z (fractional)
Co: 0.500 0.500 0.000
Tl: 0.750 0.250 0.500
Zr: 0.000 0.000 0.000
Zr: 0.250 0.750 0.500

M_tot = 0.14 μB per atom
SG = I-4m2
Energy relative to the elements = 0.0962 eV/atom
E = -6.55 eV/atom

Record 13
Here is an optimized crystal structure of TbDyThZn from Alexandria via LeMat-Bulk. Energies are from PBE.

Cell lengths 3.566, 3.566, 8.564 Å; angles 90.00, 90.00, 90.00 degrees
Element x y z (fractional)
Tb: 0.500 0.500 0.783
Dy: 0.500 0.500 0.360
Th: 0.000 0.000 0.072
Zn: 0.000 0.000 0.570

M_tot = 0.00 μB per atom
SG = P4mm
Energy relative to the elements = -0.1640 eV/atom
E = -4.65 eV/atom

Record 14
Here is an optimized crystal structure of Pu5CuRh6 from Alexandria via LeMat-Bulk. Energies are from PBE.

Cell lengths 4.609, 8.295, 8.295 Å; angles 120.04, 106.14, 106.14 degrees
Element x y z (fractional)
Rh: 0.246 0.090 0.402
Rh: 0.754 0.598 0.910
Rh: 0.769 0.269 0.269
Rh: 0.231 0.731 0.731
Rh: 0.246 0.402 0.090
Rh: 0.754 0.910 0.598
Cu: 0.000 0.000 0.000
Pu: 0.500 0.148 0.852
Pu: 0.000 0.317 0.683
Pu: 0.500 0.500 0.500
Pu: 0.000 0.683 0.317
Pu: 0.500 0.852 0.148

M_tot = 0.38 μB per atom
SG = Immm
Energy relative to the elements = -0.3412 eV/atom
E = -10.33 eV/atom

Record 15
Here is an optimized crystal structure of KBi2Au from Alexandria via LeMat-Bulk. Energies are from PBE.

Cell lengths 4.477, 5.873, 5.636 Å; angles 112.00, 90.00, 90.00 degrees
Element x y z (fractional)
K: 0.500 0.500 0.000
Bi: 0.000 0.174 0.301
Bi: 0.000 0.826 0.699
Au: 0.500 0.000 0.500

M_tot = 0.00 μB per atom
Energy relative to the lowest polymorph listed for this composition = 0 meV per atom
SG = P2/m
Energy relative to the elements = -0.2393 eV/atom
E = -3.27 eV/atom

Record 16
Here is an optimized crystal structure of GaPRu2Se from Alexandria via LeMat-Bulk. Energies are from PBE.

Cell lengths 4.414, 4.737, 4.414 Å; angles 90.00, 90.00, 90.00 degrees
Element x y z (fractional)
Ru: 0.000 0.000 0.500
Ru: 0.500 0.000 0.000
Ga: 0.500 0.500 0.500
Se: 0.000 0.500 0.000
P: 0.000 0.000 0.000

ΔE_f (raw) = 0.69 eV per atom
M_tot = 0.00 μB per atom
SG = P4/mmm
E = -5.41 eV/atom

Record 17
Here is an optimized crystal structure of NiHPd3 from Alexandria via LeMat-Bulk. Energies are from PBE.

Cell lengths 2.792, 5.352, 8.686 Å; angles 75.72, 90.04, 74.84 degrees
Element x y z (fractional)
Ni: 0.809 0.956 0.146
Ni: 0.879 0.805 0.913
H: 0.081 0.407 0.684
H: 0.608 0.354 0.375
Pd: 0.249 0.076 0.373
Pd: 0.535 0.497 0.140
Pd: 0.153 0.264 0.919
Pd: 0.702 0.166 0.644
Pd: 0.440 0.685 0.686
Pd: 0.986 0.594 0.415

M_tot = 0.27 μB per atom
Energy relative to the lowest polymorph listed for this composition = 35 meV per atom
SG = P-1
E = -4.93 eV/atom

Record 18
Here is an optimized crystal structure of SmGdPd2 from Alexandria via LeMat-Bulk. Energies are from PBE.

Cell lengths 4.140, 4.140, 7.180 Å; angles 73.24, 73.24, 60.00 degrees
Element x y z (fractional)
Gd: 0.500 0.500 0.500
Pd: 0.751 0.751 0.746
Pd: 0.249 0.249 0.254
Sm: 0.000 0.000 0.000

M_tot = 1.79 μB per atom
Energy relative to the lowest polymorph listed for this composition = 104 meV per atom
SG = R-3m
Energy relative to the elements = -0.7083 eV/atom
E = -8.00 eV/atom

Record 19
Here is an optimized crystal structure of YSnO3 from Alexandria via LeMat-Bulk. Energies are from PBE.

Cell lengths 4.093, 4.093, 4.093 Å; angles 90.00, 90.00, 90.00 degrees
Element x y z (fractional)
Y: 0.500 0.500 0.500
Sn: 0.000 0.000 0.000
O: 0.000 0.500 0.000
O: 0.000 0.000 0.500
O: 0.500 0.000 0.000

ΔE_f (raw) = -1.75 eV per atom
M_tot = 0.00 μB per atom
SG = Pm-3m
E = -6.82 eV/atom

Record 20
Here is an optimized crystal structure of AlTc2Os from Alexandria via LeMat-Bulk. Energies are from PBE.

Cell lengths 4.841, 4.841, 4.633 Å; angles 71.26, 71.26, 34.52 degrees
Element x y z (fractional)
Os: 0.253 0.253 0.312
Tc: 0.996 0.996 0.942
Tc: 0.745 0.745 0.802
Al: 0.506 0.506 0.444

M_tot = 0.00 μB per atom
SG = Cm
Energy relative to the elements = -0.1112 eV/atom
E = -9.04 eV/atom